# 1
The following is a SCAN calculation of a crystal of Li2MnSiO4 relaxed with PBEsol, from Alexandria via LeMat-Bulk.

Lattice parameters (Å, degrees): 5.312 10.461 12.897 90.00 90.00 90.00
Fractional coordinates of all 64 atoms:
Si  0.543  0.963  0.687
Si  0.457  0.037  0.187
Si  0.959  0.706  0.942
Si  0.959  0.794  0.442
Si  0.457  0.463  0.687
Si  0.543  0.537  0.187
Si  0.041  0.294  0.442
Si  0.041  0.206  0.942
Li  0.131  0.788  0.199
Li  0.444  0.547  0.938
Li  0.051  0.465  0.065
Li  0.628  0.789  0.297
Li  0.051  0.035  0.565
Li  0.131  0.712  0.699
Li  0.949  0.965  0.065
Li  0.444  0.953  0.438
Li  0.556  0.047  0.938
Li  0.372  0.211  0.797
Li  0.372  0.289  0.297
Li  0.628  0.711  0.797
Li  0.869  0.288  0.199
Li  0.556  0.453  0.438
Li  0.869  0.212  0.699
Li  0.949  0.535  0.565
O  0.351  0.199  0.950
O  0.512  0.308  0.688
O  0.488  0.692  0.188
O  0.581  0.528  0.583
O  0.925  0.439  0.438
O  0.351  0.301  0.450
O  0.158  0.993  0.189
O  0.488  0.808  0.688
O  0.419  0.472  0.083
O  0.001  0.730  0.326
O  0.922  0.289  0.038
O  0.842  0.493  0.189
O  0.075  0.939  0.438
O  0.078  0.711  0.538
O  0.512  0.192  0.188
O  0.999  0.230  0.326
O  0.649  0.699  0.950
O  0.999  0.270  0.826
O  0.078  0.789  0.038
O  0.419  0.028  0.583
O  0.410  0.477  0.292
O  0.158  0.507  0.689
O  0.410  0.023  0.792
O  0.581  0.972  0.083
O  0.001  0.770  0.826
O  0.075  0.561  0.938
O  0.590  0.977  0.292
O  0.842  0.007  0.689
O  0.922  0.211  0.538
O  0.925  0.061  0.938
O  0.590  0.523  0.792
O  0.649  0.801  0.450
Mn  0.947  0.460  0.815
Mn  0.463  0.705  0.553
Mn  0.947  0.040  0.315
Mn  0.463  0.795  0.053
Mn  0.053  0.960  0.815
Mn  0.537  0.295  0.053
Mn  0.537  0.205  0.553
Mn  0.053  0.540  0.315

Values from the calculation:
E	-9.78	eV/atom
size of the total moment	5.00	μB/f.u.
crystal system	orthorhombic
E_form (uncorrected)	-2.54	eV/atom
density	3.0	g/cm3


# 2
The following is a SCAN calculation of a crystal of Nb2AgBSe relaxed with PBEsol, from Alexandria via LeMat-Bulk.

Lattice parameters (Å, degrees): 4.060 4.456 4.456 90.00 90.00 90.00
Fractional coordinates of all 5 atoms:
Se  0.500  0.500  0.500
Ag  0.500  0.000  0.000
Nb  0.000  0.000  0.500
Nb  0.000  0.500  0.000
B  0.000  0.000  0.000

Values from the calculation:
E	-24.70	eV/atom
size of the total moment	0.00	μB/f.u.
crystal system	tetragonal
E_form (uncorrected)	0.33	eV/atom
density	7.9	g/cm3


# 3
The following is a SCAN calculation of a crystal of MgTlGa3 relaxed with PBEsol, from Alexandria via LeMat-Bulk.

Lattice parameters (Å, degrees): 5.079 5.079 5.079 90.00 90.00 90.00
Fractional coordinates of all 5 atoms:
Mg  0.000  0.000  0.000
Ga  0.000  0.500  0.000
Ga  0.500  0.000  0.000
Ga  0.000  0.000  0.500
Tl  0.500  0.500  0.500

Values from the calculation:
E	-24.83	eV/atom
size of the total moment	0.00	μB/f.u.
crystal system	cubic
density	5.6	g/cm3
energy relative to the elements	446	meV/atom


Volume, record by record: 90, 81, 131 Å³/f.u.